Density functional theory data (PBE+U) for NaCo2H3S2O10 after structural relaxation.

Properties
- Total energy: -5.682 eV/atom
- Volume: 10.1 Å³/atom
- Calculated density: 3.4 Mg/m³
- Density of states at the Fermi level: 0.00 states/eV per cell
- Crystal system: monoclinic

Cell lengths 5.371, 5.371, 7.469 Å; angles 111.77, 111.77, 71.15 degrees
Atoms (fractional coordinates):
Na 0.000 0.000 0.000
Co 0.000 0.500 0.500
Co 0.500 0.000 0.500
H 0.201 0.201 0.727
H 0.799 0.799 0.273
H 0.999 0.999 0.499
S 0.409 0.409 0.205
S 0.591 0.591 0.795
O 0.155 0.155 0.578
O 0.283 0.283 0.993
O 0.284 0.679 0.746
O 0.311 0.311 0.329
O 0.321 0.716 0.254
O 0.679 0.284 0.746
O 0.689 0.689 0.671
O 0.716 0.321 0.254
O 0.716 0.716 0.007
O 0.844 0.844 0.421